Entry 1:
Material: KY2Ag
Method: DFT, meta-GGA SCAN
State: single point on PBEsol structure

Summary:
The magnetic moment is 0.08 μB per atom.

```
data_KY2Ag
_symmetry_space_group_name_H-M 'R 3 m'
_symmetry_Int_Tables_number 160
_symmetry_space_group_name_Hall 'R 3 -2"'
_cell_length_a 3.5935
_cell_length_b 3.5935
_cell_length_c 33.6714
_cell_angle_alpha 90.00
_cell_angle_beta 90.00
_cell_angle_gamma 120.00
loop_
_atom_site_label
_atom_site_type_symbol
_atom_site_fract_x
_atom_site_fract_y
_atom_site_fract_z
K1 K 0.0000 0.0000 0.0000
Y1 Y 0.0000 0.0000 0.2268
Y2 Y 0.0000 0.0000 0.4780
Ag1 Ag 0.0000 0.0000 0.7474
```

Entry 2:
Material: GaAgP2Se6
Method: DFT, meta-GGA SCAN
State: single point on PBEsol structure

Summary:
The magnetic moment is 0.00 μB per atom.

```
data_GaAgP2Se6
_symmetry_space_group_name_H-M 'P -3 1 c'
_symmetry_Int_Tables_number 163
_symmetry_space_group_name_Hall '-P 3 2c'
_cell_length_a 6.3220
_cell_length_b 6.3220
_cell_length_c 13.4437
_cell_angle_alpha 90.00
_cell_angle_beta 90.00
_cell_angle_gamma 120.00
loop_
_atom_site_label
_atom_site_type_symbol
_atom_site_fract_x
_atom_site_fract_y
_atom_site_fract_z
Ga1 Ga 0.0000 0.0000 0.2500
Ag1 Ag 0.3333 0.6667 0.2500
P1 P 0.3333 0.6667 0.6668
Se1 Se 0.0119 0.3158 0.6226
```

Entry 3:
Material: RbAl2Bi2
Method: DFT, meta-GGA SCAN
State: single point on PBEsol structure

Summary:
The magnetic moment is 0.00 μB per atom.

```
data_RbAl2Bi2
_symmetry_space_group_name_H-M 'I 4/m m m'
_symmetry_Int_Tables_number 139
_symmetry_space_group_name_Hall '-I 4 2'
_cell_length_a 4.710
_cell_length_b 4.710
_cell_length_c 14.866
_cell_angle_alpha 90.00
_cell_angle_beta 90.00
_cell_angle_gamma 90.00
loop_
_atom_site_label
_atom_site_type_symbol
_atom_site_fract_x
_atom_site_fract_y
_atom_site_fract_z
Rb1 Rb 0.000 0.000 0.000
Al1 Al 0.000 0.500 0.250
Bi1 Bi 0.000 0.000 0.361
```

Entry 4:
Material: Ba3SnS5
Method: DFT, meta-GGA SCAN
State: single point on PBEsol structure

Summary:
The magnetic moment is 0.00 μB per atom.

```
data_Ba3SnS5
_symmetry_space_group_name_H-M 'I 4/m c m'
_symmetry_Int_Tables_number 140
_symmetry_space_group_name_Hall '-I 4 2c'
_cell_length_a 8.353
_cell_length_b 8.353
_cell_length_c 14.357
_cell_angle_alpha 90.00
_cell_angle_beta 90.00
_cell_angle_gamma 90.00
loop_
_atom_site_label
_atom_site_type_symbol
_atom_site_fract_x
_atom_site_fract_y
_atom_site_fract_z
Ba1 Ba 0.000 0.000 0.250
Ba2 Ba 0.160 0.340 0.000
Sn1 Sn 0.000 0.500 0.250
S1 S 0.000 0.000 0.000
S2 S 0.155 0.345 0.354
```

Entry 5:
Material: Li4Cl
Method: DFT, meta-GGA SCAN
State: single point on PBEsol structure

Summary:
The magnetic moment is 0.00 μB per atom.

```
data_Li4Cl
_symmetry_space_group_name_H-M 'I m -3 m'
_symmetry_Int_Tables_number 229
_symmetry_space_group_name_Hall '-I 4 2 3'
_cell_length_a 5.855
_cell_length_b 5.855
_cell_length_c 5.855
_cell_angle_alpha 90.00
_cell_angle_beta 90.00
_cell_angle_gamma 90.00
loop_
_atom_site_label
_atom_site_type_symbol
_atom_site_fract_x
_atom_site_fract_y
_atom_site_fract_z
Li1 Li 0.250 0.250 0.250
Cl1 Cl 0.000 0.000 0.000
```

Entry 6:
Material: CdB3F
Method: DFT, meta-GGA SCAN
State: single point on PBEsol structure

Summary:
The magnetic moment is 0.00 μB per atom.

```
data_CdB3F
_symmetry_space_group_name_H-M 'P m -3 m'
_symmetry_Int_Tables_number 221
_symmetry_space_group_name_Hall '-P 4 2 3'
_cell_length_a 4.346
_cell_length_b 4.346
_cell_length_c 4.346
_cell_angle_alpha 90.00
_cell_angle_beta 90.00
_cell_angle_gamma 90.00
loop_
_atom_site_label
_atom_site_type_symbol
_atom_site_fract_x
_atom_site_fract_y
_atom_site_fract_z
Cd1 Cd 0.000 0.000 0.000
B1 B 0.000 0.000 0.500
F1 F 0.500 0.500 0.500
```

no.,theoretical density (g/cm³),uncorrected energy (eV/f.u.)
1,4.30,-94.73
2,5.09,-191.47
3,5.61,-194.10
4,4.58,-218.55
5,1.05,-20.00
6,3.31,-45.97